i.
A relaxed YCr2Cu crystal, computed with PBE.

Structure (CIF):
```
data_YCr2Cu
_symmetry_space_group_name_H-M 'P 1 2/m 1'
_symmetry_Int_Tables_number 10
_cell_length_a 3.3508
_cell_length_b 4.7030
_cell_length_c 4.4383
_cell_angle_alpha 90.00
_cell_angle_beta 94.88
_cell_angle_gamma 90.00
loop_
_symmetry_equiv_pos_as_xyz
'x,y,z'
'-x,-y,-z'
'-x,y,-z'
'x,-y,z'
loop_
_atom_site_label
_atom_site_fract_x
_atom_site_fract_y
_atom_site_fract_z
Y1 0.0000 0.0000 0.0000
Cr1 0.4114 0.5000 0.7631
Cu1 0.5000 0.0000 0.5000
```

Values from the calculation:
As for the mass density: 6.11 Mg/m³.



ii.
A relaxed YCr2Cu crystal, computed with PBE.

Structure (CIF):
```
data_YCr2Cu
_symmetry_space_group_name_H-M 'R 3 m'
_symmetry_Int_Tables_number 160
_symmetry_space_group_name_Hall 'R 3 -2"'
_cell_length_a 4.1525
_cell_length_b 4.1525
_cell_length_c 15.0675
_cell_angle_alpha 90.00
_cell_angle_beta 90.00
_cell_angle_gamma 120.00
loop_
_atom_site_label
_atom_site_fract_x
_atom_site_fract_y
_atom_site_fract_z
Y1 0.0000 0.0000 0.0000
Cr1 0.0000 0.0000 0.4794
Cr2 0.0000 0.0000 0.7995
Cu1 0.0000 0.0000 0.2098
```

Values from the calculation:
As for the mass density: 5.68 Mg/m³.



Which structure is most stable? ii, by 369 meV/atom over the runner-up.



i.
A relaxed YCr2Cu crystal, computed with PBE.

Structure (CIF):
```
data_YCr2Cu
_symmetry_space_group_name_H-M 'I 41/a m d'
_symmetry_Int_Tables_number 141
_cell_length_a 4.0763
_cell_length_b 4.0763
_cell_length_c 18.2970
_cell_angle_alpha 90.00
_cell_angle_beta 90.00
_cell_angle_gamma 90.00
loop_
_symmetry_equiv_pos_as_xyz
'x,y,z'
'-x,-y,-z'
'-y+1/4,x+3/4,z+1/4'
'y+1/4,-x+3/4,-z+1/4'
'-x+1/2,-y,z+1/2'
'x+1/2,y,-z+1/2'
'y+1/4,-x+1/4,z+3/4'
'-y+1/4,x+1/4,-z+3/4'
'x,-y,-z'
'-x,y,z'
'-y+1/4,-x+1/4,-z+3/4'
'y+1/4,x+1/4,z+3/4'
'-x+1/2,y,-z+1/2'
'x+1/2,-y,z+1/2'
'y+1/4,x+3/4,-z+1/4'
'-y+1/4,-x+3/4,z+1/4'
'x+1/2,y+1/2,z+1/2'
'-x+1/2,-y+1/2,-z+1/2'
'-y+3/4,x+1/4,z+3/4'
'y+3/4,-x+1/4,-z+3/4'
'-x,-y+1/2,z'
'x,y+1/2,-z'
'y+3/4,-x+3/4,z+1/4'
'-y+3/4,x+3/4,-z+1/4'
'x+1/2,-y+1/2,-z+1/2'
'-x+1/2,y+1/2,z+1/2'
'-y+3/4,-x+3/4,-z+1/4'
'y+3/4,x+3/4,z+1/4'
'-x,y+1/2,-z'
'x,-y+1/2,z'
'y+3/4,x+1/4,-z+3/4'
'-y+3/4,-x+1/4,z+3/4'
loop_
_atom_site_label
_atom_site_fract_x
_atom_site_fract_y
_atom_site_fract_z
Y1 0.0000 0.2500 0.3750
Cr1 0.0000 0.0000 0.0000
Cu1 0.0000 0.2500 0.8750
```

Values from the calculation:
As for the mass density: 5.60 Mg/m³.



ii.
A relaxed YCr2Cu crystal, computed with PBE.

Structure (CIF):
```
data_YCr2Cu
_symmetry_space_group_name_H-M 'P 4 m m'
_symmetry_Int_Tables_number 99
_cell_length_a 3.1044
_cell_length_b 3.1044
_cell_length_c 6.9355
_cell_angle_alpha 90.00
_cell_angle_beta 90.00
_cell_angle_gamma 90.00
loop_
_symmetry_equiv_pos_as_xyz
'x,y,z'
'-y,x,z'
'-x,-y,z'
'y,-x,z'
'-x,y,z'
'y,x,z'
'x,-y,z'
'-y,-x,z'
loop_
_atom_site_label
_atom_site_fract_x
_atom_site_fract_y
_atom_site_fract_z
Y1 0.0000 0.0000 0.0000
Cr1 0.0000 0.0000 0.5184
Cr2 0.5000 0.5000 0.6777
Cu1 0.5000 0.5000 0.2972
```

Values from the calculation:
As for the mass density: 6.37 Mg/m³.



iii.
A relaxed YCr2Cu crystal, computed with PBE.

Structure (CIF):
```
data_YCr2Cu
_symmetry_space_group_name_H-M 'C 1 2/m 1'
_symmetry_Int_Tables_number 12
_cell_length_a 5.1766
_cell_length_b 9.4742
_cell_length_c 2.9775
_cell_angle_alpha 90.00
_cell_angle_beta 119.26
_cell_angle_gamma 90.00
loop_
_symmetry_equiv_pos_as_xyz
'x,y,z'
'-x,-y,-z'
'-x,y,-z'
'x,-y,z'
'x+1/2,y+1/2,z'
'-x+1/2,-y+1/2,-z'
'-x+1/2,y+1/2,-z'
'x+1/2,-y+1/2,z'
loop_
_atom_site_label
_atom_site_fract_x
_atom_site_fract_y
_atom_site_fract_z
Y1 0.0000 0.0000 0.0000
Cr1 0.2500 0.2500 0.5000
Cu1 0.0000 0.5000 0.0000
```

Values from the calculation:
As for the mass density: 6.69 Mg/m³.



Which structure is most stable? ii, by 453 meV/atom over the runner-up.



i.
A relaxed YCrCu2 crystal, computed with PBE.

Structure (CIF):
```
data_YCrCu2
_symmetry_space_group_name_H-M 'I m m 2'
_symmetry_Int_Tables_number 44
_cell_length_a 3.7541
_cell_length_b 4.3225
_cell_length_c 8.5175
_cell_angle_alpha 90.00
_cell_angle_beta 90.00
_cell_angle_gamma 90.00
loop_
_symmetry_equiv_pos_as_xyz
'x,y,z'
'-x,-y,z'
'-x,y,z'
'x,-y,z'
'x+1/2,y+1/2,z+1/2'
'-x+1/2,-y+1/2,z+1/2'
'-x+1/2,y+1/2,z+1/2'
'x+1/2,-y+1/2,z+1/2'
loop_
_atom_site_label
_atom_site_fract_x
_atom_site_fract_y
_atom_site_fract_z
Y1 0.0000 0.0000 0.0000
Cr1 0.0000 0.5000 0.7672
Cu1 0.0000 0.0000 0.5185
Cu2 0.0000 0.5000 0.2381
```

Values from the calculation:
As for the mass density: 6.44 Mg/m³.



ii.
A relaxed YCrCu2 crystal, computed with PBE.

Structure (CIF):
```
data_YCrCu2
_symmetry_space_group_name_H-M 'A m m 2'
_symmetry_Int_Tables_number 38
_cell_length_a 4.0497
_cell_length_b 3.5530
_cell_length_c 10.1436
_cell_angle_alpha 90.00
_cell_angle_beta 90.00
_cell_angle_gamma 90.00
loop_
_symmetry_equiv_pos_as_xyz
'x,y,z'
'-x,-y,z'
'-x,y,z'
'x,-y,z'
'x,y+1/2,z+1/2'
'-x,-y+1/2,z+1/2'
'-x,y+1/2,z+1/2'
'x,-y+1/2,z+1/2'
loop_
_atom_site_label
_atom_site_fract_x
_atom_site_fract_y
_atom_site_fract_z
Y1 0.0000 0.0000 0.0000
Cr1 0.5000 0.0000 0.7029
Cu1 0.0000 0.0000 0.2701
Cu2 0.5000 0.0000 0.4075
```

Values from the calculation:
As for the mass density: 6.10 Mg/m³.



iii.
A relaxed YCrCu2 crystal, computed with PBE.

Structure (CIF):
```
data_YCrCu2
_symmetry_space_group_name_H-M 'P 4/m m m'
_symmetry_Int_Tables_number 123
_symmetry_space_group_name_Hall '-P 4 2'
_cell_length_a 3.2825
_cell_length_b 3.2825
_cell_length_c 6.3679
_cell_angle_alpha 90.00
_cell_angle_beta 90.00
_cell_angle_gamma 90.00
loop_
_atom_site_label
_atom_site_fract_x
_atom_site_fract_y
_atom_site_fract_z
Y1 0.0000 0.0000 0.0000
Cr1 0.0000 0.0000 0.5000
Cu1 0.5000 0.5000 0.2960
```

Values from the calculation:
As for the mass density: 6.49 Mg/m³.



iv.
A relaxed YCrCu2 crystal, computed with PBE.

Structure (CIF):
```
data_YCrCu2
_symmetry_space_group_name_H-M 'F -4 3 m'
_symmetry_Int_Tables_number 216
_symmetry_space_group_name_Hall 'F -4 2 3'
_cell_length_a 6.4603
_cell_length_b 6.4603
_cell_length_c 6.4603
_cell_angle_alpha 90.00
_cell_angle_beta 90.00
_cell_angle_gamma 90.00
loop_
_atom_site_label
_atom_site_fract_x
_atom_site_fract_y
_atom_site_fract_z
Y1 0.0000 0.0000 0.0000
Cr1 0.2500 0.2500 0.2500
Cu1 0.0000 0.0000 0.5000
Cu2 0.2500 0.2500 0.7500
```

Values from the calculation:
As for the mass density: 6.60 Mg/m³.



Which structure is most stable? iii, by 23 meV/atom over the runner-up.



i.
A relaxed YCrCu2 crystal, computed with PBE.

Structure (CIF):
```
data_YCrCu2
_symmetry_space_group_name_H-M 'P 4/m m m'
_symmetry_Int_Tables_number 123
_symmetry_space_group_name_Hall '-P 4 2'
_cell_length_a 4.3528
_cell_length_b 4.3528
_cell_length_c 3.6417
_cell_angle_alpha 90.00
_cell_angle_beta 90.00
_cell_angle_gamma 90.00
loop_
_atom_site_label
_atom_site_fract_x
_atom_site_fract_y
_atom_site_fract_z
Y1 0.0000 0.0000 0.0000
Cr1 0.5000 0.5000 0.0000
Cu1 0.0000 0.5000 0.5000
```

Values from the calculation:
As for the mass density: 6.45 Mg/m³.



ii.
A relaxed YCrCu2 crystal, computed with PBE.

Structure (CIF):
```
data_YCrCu2
_symmetry_space_group_name_H-M 'I -4 2 d'
_symmetry_Int_Tables_number 122
_symmetry_space_group_name_Hall 'I -4 2bw'
_cell_length_a 4.3108
_cell_length_b 4.3108
_cell_length_c 17.4918
_cell_angle_alpha 90.00
_cell_angle_beta 90.00
_cell_angle_gamma 90.00
loop_
_atom_site_label
_atom_site_fract_x
_atom_site_fract_y
_atom_site_fract_z
Y1 0.0000 0.0000 0.0000
Cr1 0.0000 0.0000 0.5000
Cu1 0.1133 0.2500 0.6250
```

Values from the calculation:
As for the mass density: 5.48 Mg/m³.



Which structure is most stable? i, by 297 meV/atom over the runner-up.